Entry from Alexandria via LeMat-Bulk: a geometry-optimized KV2TeO6 structure (PBE+U).

```
KV2TeO6
1.0
-4.899 2.859 -1.590
-2.412 -4.355 -6.966
-5.838 -3.442 5.233
O K V Te
12 2 4 2
direct
0.296 0.221 0.076
0.105 0.554 0.174
0.454 0.370 0.327
0.796 0.076 0.221
0.204 0.924 0.779
0.954 0.327 0.370
0.895 0.446 0.826
0.605 0.174 0.554
0.046 0.673 0.630
0.395 0.826 0.446
0.546 0.630 0.673
0.704 0.779 0.924
0.250 0.883 0.117
0.750 0.117 0.883
0.797 0.632 0.768
0.203 0.368 0.232
0.703 0.232 0.368
0.297 0.768 0.632
0.750 0.706 0.294
0.250 0.294 0.706
```

Summary:
symmetry = No. 15
DFT total energy = -6.436 eV per atom
size of the total moment = 2.027 Bohr magnetons per cell